This record from Alexandria describes a relaxed structure of BaMnBe2O. The functional is PBE with a Hubbard U.

Properties
DFT total energy	-15.8	eV/cell

a b c (Å): 5.9432 4.5769 5.9432
angles (deg): 90.00 90.00 90.00
Site moments in Bohr magnetons follow the coordinates.
Atoms (fractional coordinates):
1 Be 0.0000 0.0000 0.5000  -0.01
2 Be 0.5000 0.0000 0.0000  -0.01
3 Mn 0.5000 0.5000 0.5000  4.78
4 Ba 0.0000 0.0000 0.0000  -0.01
5 O 0.0000 0.5000 0.0000  0.01